TbHfI: relaxed, PBE.

```
data_TbHfI
_chemical_formula_sum 'Tb4 Hf4 I4'
_cell_length_a 6.306
_cell_length_b 3.642
_cell_length_c 16.451
_cell_angle_alpha 90.00
_cell_angle_beta 97.60
_cell_angle_gamma 90.00
_symmetry_space_group_name_H-M 'C 1 2/m 1'
_symmetry_Int_Tables_number 12
loop_
_symmetry_equiv_pos_as_xyz
'x,y,z'
'-x,-y,-z'
'-x,y,-z'
'x,-y,z'
'x+1/2,y+1/2,z'
'-x+1/2,-y+1/2,-z'
'-x+1/2,y+1/2,-z'
'x+1/2,-y+1/2,z'
loop_
_atom_site_label
_atom_site_fract_x
_atom_site_fract_y
_atom_site_fract_z
Tb1 0.081 0.000 0.235
Hf1 0.192 0.500 0.072
I1 0.205 0.000 0.628
```

Computed properties:
VASP energy in eV/atom: -5.672
Raw formation energy in eV/atom: -0.2945

---

TbHfI2: relaxed, PBE.

```
data_TbHfI2
_chemical_formula_sum 'Tb3 Hf3 I6'
_cell_length_a 3.6675
_cell_length_b 3.6675
_cell_length_c 31.0276
_cell_angle_alpha 90.00
_cell_angle_beta 90.00
_cell_angle_gamma 120.00
_symmetry_space_group_name_H-M 'R -3 m'
_symmetry_Int_Tables_number 166
_symmetry_space_group_name_Hall '-R 3 2"'
loop_
_atom_site_label
_atom_site_fract_x
_atom_site_fract_y
_atom_site_fract_z
Tb1 0.0000 0.0000 0.0000
Hf1 0.0000 0.0000 0.5000
I1 0.0000 0.0000 0.4069
```

Computed properties:
VASP energy in eV/atom: -4.623
Raw formation energy in eV/atom: -0.2018

---

HfTc2I: relaxed, PBE.

```
data_HfTc2I
_chemical_formula_sum 'Hf4 Tc8 I4'
_cell_length_a 6.289
_cell_length_b 6.289
_cell_length_c 10.309
_cell_angle_alpha 90.00
_cell_angle_beta 90.00
_cell_angle_gamma 90.00
_symmetry_space_group_name_H-M 'I -4 2 d'
_symmetry_Int_Tables_number 122
_symmetry_space_group_name_Hall 'I -4 2bw'
loop_
_atom_site_label
_atom_site_fract_x
_atom_site_fract_y
_atom_site_fract_z
Hf1 0.000 0.000 0.000
Tc1 0.244 0.250 0.625
I1 0.000 0.000 0.500
```

Computed properties:
VASP energy in eV/atom: -6.723
Raw formation energy in eV/atom: 1.3356

---

HfTc2I: relaxed, PBE.

```
data_HfTc2I
_chemical_formula_sum 'Hf4 Tc8 I4'
_cell_length_a 6.576
_cell_length_b 6.576
_cell_length_c 6.576
_cell_angle_alpha 90.00
_cell_angle_beta 90.00
_cell_angle_gamma 90.00
_symmetry_space_group_name_H-M 'F m -3 m'
_symmetry_Int_Tables_number 225
_symmetry_space_group_name_Hall '-F 4 2 3'
loop_
_atom_site_label
_atom_site_fract_x
_atom_site_fract_y
_atom_site_fract_z
Hf1 0.000 0.000 0.000
Tc1 0.250 0.250 0.250
I1 0.000 0.000 0.500
```

Computed properties:
VASP energy in eV/atom: -7.602
Raw formation energy in eV/atom: 0.4565

---

HfTcTe2I: relaxed, PBE.

```
data_HfTcTe2I
_chemical_formula_sum 'Hf1 Tc1 Te2 I1'
_cell_length_a 5.579
_cell_length_b 5.579
_cell_length_c 5.635
_cell_angle_alpha 90.00
_cell_angle_beta 90.00
_cell_angle_gamma 90.00
_symmetry_space_group_name_H-M 'P 4/m m m'
_symmetry_Int_Tables_number 123
_symmetry_space_group_name_Hall '-P 4 2'
loop_
_atom_site_label
_atom_site_fract_x
_atom_site_fract_y
_atom_site_fract_z
Hf1 0.000 0.000 0.000
Tc1 0.500 0.500 0.500
Te1 0.000 0.500 0.000
I1 0.000 0.000 0.500
```

Computed properties:
VASP energy in eV/atom: -4.940
Raw formation energy in eV/atom: 0.6906

---

HfTcTeI2: relaxed, PBE.

```
data_HfTcTeI2
_chemical_formula_sum 'Hf1 Tc1 Te1 I2'
_cell_length_a 5.704
_cell_length_b 5.704
_cell_length_c 5.568
_cell_angle_alpha 90.00
_cell_angle_beta 90.00
_cell_angle_gamma 90.00
_symmetry_space_group_name_H-M 'P 4/m m m'
_symmetry_Int_Tables_number 123
_symmetry_space_group_name_Hall '-P 4 2'
loop_
_atom_site_label
_atom_site_fract_x
_atom_site_fract_y
_atom_site_fract_z
Hf1 0.000 0.000 0.000
Tc1 0.500 0.500 0.500
Te1 0.000 0.000 0.500
I1 0.000 0.500 0.000
```

Computed properties:
VASP energy in eV/atom: -4.597
Raw formation energy in eV/atom: 0.7152